# 1
Compound: Ac2AgAuO6
Source: the Alexandria database
Functional: PBE-GGA
Structure: optimized geometry

The formation energy without anion corrections is -1516 kJ/mol of formula units.

The space group is P4mm (No. 99) and the conventional cell measures 5.895, 5.895 and 4.394 Å, with angles of 90.00, 90.00 and 90.00 degrees. The distinct sites, in fractional coordinates, are Ac at (0.000, 0.500, 0.000), Ag at (0.000, 0.000, 0.562), Au at (0.500, 0.500, 0.593), O at (0.000, 0.000, 0.069), O at (0.256, 0.256, 0.636) and O at (0.500, 0.500, 0.096).

# 2
Compound: AcAg2AuO4
Source: the Alexandria database
Functional: PBE-GGA
Structure: optimized geometry

The formation energy without anion corrections is -683 kJ/mol of formula units.

The space group is I-42m (No. 121) and the conventional cell measures 6.092, 6.092 and 6.667 Å, with angles of 90.00, 90.00 and 90.00 degrees. The distinct sites, in fractional coordinates, are Ac at (0.000, 0.000, 0.000), Ag at (0.000, 0.500, 0.250), Au at (0.000, 0.000, 0.500) and O at (0.214, 0.214, 0.273).

# 3
Compound: Ac2Ag2AuO6
Source: the Alexandria database
Functional: PBE-GGA
Structure: optimized geometry

The formation energy without anion corrections is -1487 kJ/mol of formula units.

The space group is C2/m (No. 12) and the conventional cell measures 6.290, 11.550 and 6.218 Å, with angles of 90.00, 94.93 and 90.00 degrees. The distinct sites, in fractional coordinates, are Ac at (0.000, 0.161, 0.000), Ag at (0.000, 0.357, 0.500), Au at (0.000, 0.500, 0.000), O at (0.127, 0.347, 0.818) and O at (0.196, 0.000, 0.849).

# 4
Compound: Ac3Ag4AuO8
Source: the Alexandria database
Functional: PBE-GGA
Structure: optimized geometry

The formation energy without anion corrections is -2303 kJ/mol of formula units.

The space group is C2/m (No. 12) and the conventional cell measures 12.569, 7.205 and 6.698 Å, with angles of 90.00, 113.99 and 90.00 degrees. The distinct sites, in fractional coordinates, are Ac at (0.000, 0.000, 0.000), Ac at (0.250, 0.250, 0.500), Ag at (0.000, 0.000, 0.500), Ag at (0.000, 0.500, 0.500), Ag at (0.250, 0.250, 0.000), Au at (0.000, 0.500, 0.000), O at (0.039, 0.299, 0.237), O at (0.183, 0.000, 0.679) and O at (0.219, 0.000, 0.213).

# 5
Compound: AcAgPd3Au
Source: the Alexandria database
Functional: PBE-GGA
Structure: optimized geometry

The value obtained for the formation energy is -0.374 eV/atom.

The space group is Cmcm (No. 63) and the conventional cell measures 5.939, 13.820 and 6.079 Å, with angles of 90.00, 90.00 and 90.00 degrees. The distinct sites, in fractional coordinates, are Ac at (0.000, 0.171, 0.250), Ag at (0.000, 0.385, 0.250), Pd at (0.000, 0.358, 0.750), Pd at (0.232, 0.000, 0.000) and Au at (0.000, 0.153, 0.750).

# 6
Compound: Ac2Ag2Pd5Au
Source: the Alexandria database
Functional: PBE-GGA
Structure: optimized geometry

The value obtained for the formation energy is -0.475 eV/atom.

The space group is P4/mbm (No. 127) and the conventional cell measures 9.992, 9.992 and 4.154 Å, with angles of 90.00, 90.00 and 90.00 degrees. The distinct sites, in fractional coordinates, are Ac at (0.180, 0.320, 0.000), Ag at (0.120, 0.620, 0.000), Pd at (0.000, 0.500, 0.500), Pd at (0.054, 0.800, 0.500) and Au at (0.000, 0.000, 0.000).

# 7
Compound: Ac2Ag3Pd12Au
Source: the Alexandria database
Functional: PBE-GGA
Structure: optimized geometry

The value obtained for the formation energy is -0.035 eV/atom.

The space group is R-3m (No. 166, hexagonal axes) and the conventional cell measures 6.8320, 6.8320 and 28.0787 Å, with angles of 90.00, 90.00 and 120.00 degrees. The distinct sites, in fractional coordinates, are Ac at (0.0000, 0.0000, 0.1382), Ag at (0.0000, 0.5000, 0.0000), Pd at (0.0455, 0.5227, 0.8920), Pd at (0.0770, 0.5385, 0.6189) and Au at (0.0000, 0.0000, 0.5000).

# 8
Compound: AcAgPdAu
Source: the Alexandria database
Functional: PBE-GGA
Structure: optimized geometry

For the polymorph energy (0 for the lowest one), the calculation gives 9.9 kJ/mol of atoms. The value obtained for the formation energy is -0.478 eV/atom.

The space group is F-43m (No. 216) and the conventional cell measures 7.229, 7.229 and 7.229 Å, with angles of 90.00, 90.00 and 90.00 degrees. The distinct sites, in fractional coordinates, are Ac at (0.000, 0.000, 0.000), Ag at (0.000, 0.000, 0.500), Pd at (0.250, 0.250, 0.250) and Au at (0.250, 0.250, 0.750).

# 9
Compound: AcAgPdAu
Source: the Alexandria database
Functional: PBE-GGA
Structure: optimized geometry

For the polymorph energy (0 for the lowest one), the calculation gives 0.0 kJ/mol of atoms. The value obtained for the formation energy is -0.581 eV/atom.

The space group is Cm (No. 8) and the conventional cell measures 8.169, 4.714 and 5.708 Å, with angles of 90.00, 118.57 and 90.00 degrees. The distinct sites, in fractional coordinates, are Ac at (0.000, 0.000, 0.000), Ag at (0.489, 0.000, 0.467), Pd at (0.287, 0.500, 0.363) and Au at (0.214, 0.000, 0.643).

# 10
Compound: Ac2AgPd12Au3
Source: the Alexandria database
Functional: PBE-GGA
Structure: optimized geometry

The value obtained for the formation energy is -0.282 eV/atom.

The space group is R-3m (No. 166, hexagonal axes) and the conventional cell measures 9.3028, 9.3028 and 13.7412 Å, with angles of 90.00, 90.00 and 120.00 degrees. The distinct sites, in fractional coordinates, are Ac at (0.0000, 0.0000, 0.2027), Ag at (0.0000, 0.0000, 0.5000), Pd at (0.0083, 0.5041, 0.2039), Pd at (0.0258, 0.5129, 0.6049) and Au at (0.0000, 0.5000, 0.0000).

# 11
Compound: Ac3Ag2Pd9Au
Source: the Alexandria database
Functional: PBE-GGA
Structure: optimized geometry

The value obtained for the formation energy is -0.177 eV/atom.

The space group is P-3m1 (No. 164) and the conventional cell measures 8.1605, 8.1605 and 6.2574 Å, with angles of 90.00, 90.00 and 120.00 degrees. The distinct sites, in fractional coordinates, are Ac at (0.0000, 0.0000, 0.0000), Ac at (0.3333, 0.6667, 0.6643), Ag at (0.3333, 0.6667, 0.1629), Pd at (0.0000, 0.5000, 0.0000), Pd at (0.1680, 0.3361, 0.3335) and Au at (0.0000, 0.0000, 0.5000).

# 12
Compound: Ac2AgPd5Au2
Source: the Alexandria database
Functional: PBE-GGA
Structure: optimized geometry

The value obtained for the formation energy is -0.553 eV/atom.

The space group is P4/mbm (No. 127) and the conventional cell measures 10.042, 10.042 and 4.178 Å, with angles of 90.00, 90.00 and 90.00 degrees. The distinct sites, in fractional coordinates, are Ac at (0.178, 0.322, 0.000), Ag at (0.000, 0.000, 0.000), Pd at (0.000, 0.500, 0.500), Pd at (0.057, 0.801, 0.500) and Au at (0.121, 0.621, 0.000).

Spin magnetization, respectively: 0.000 0.005 2.000 0.000 0.000 0.000 0.000 0.000 0.000 0.000 0.000 0.000 Bohr magnetons per cell.
Raw total energy, respectively: -5.981 -5.000 -5.669 -5.659 -4.677 -4.791 -4.611 -4.336 -4.438 -4.905 -4.713 -4.912 eV/atom.